Arrangement a

Computed, not measured: a relaxed structure of Ni2AsBr at the PBE level of DFT.

Results
Spin magnetization, μB per formula unit: 0.000
Space group: Imm2
DOS(E_F), states/eV/f.u.: 2.69

a b c (Å): 6.560 6.560 6.560
angles (deg): 150.58 150.16 42.40
Atoms (fractional coordinates):
Ni1 0.000 0.000 0.000
Ni2 0.837 0.337 0.500
As1 0.368 0.868 0.500
Br1 0.619 0.619 0.000

=====

Arrangement b

Computed, not measured: a relaxed structure of Ni2AsBr at the PBE level of DFT.

Results
Spin magnetization, μB per formula unit: 0.916
Space group: P4mm
DOS(E_F), states/eV/f.u.: 4.16

a b c (Å): 3.234 3.234 6.820
angles (deg): 90.00 90.00 90.00
Atoms (fractional coordinates):
Ni1 0.000 0.000 0.000
Ni2 0.500 0.500 0.192
As1 0.000 0.000 0.346
Br1 0.500 0.500 0.822

=====

Of them, arrangement b has the highest stability.

=====

Arrangement a

Computed, not measured: a relaxed structure of TcAsBr2 at the PBE level of DFT.

Results
Spin magnetization, μB per formula unit: 0.000
Space group: Pmm2
DOS(E_F), states/eV/f.u.: 1.60

a b c (Å): 3.091 3.827 8.929
angles (deg): 90.00 90.00 90.00
Atoms (fractional coordinates):
Tc1 0.000 0.000 0.000
As1 0.500 0.500 0.064
Br1 0.000 0.000 0.731
Br2 0.500 0.500 0.344

=====

Arrangement b

Computed, not measured: a relaxed structure of TcAsBr2 at the PBE level of DFT.

Results
Spin magnetization, μB per formula unit: 3.200
Space group: Pmmm
DOS(E_F), states/eV/f.u.: 2.47

a b c (Å): 3.245 4.581 5.903
angles (deg): 90.00 90.00 90.00
Atoms (fractional coordinates):
Tc1 0.000 0.000 0.000
As1 0.500 0.000 0.500
Br1 0.000 0.500 0.500
Br2 0.500 0.500 0.000

=====

Of them, arrangement a has the highest stability.

=====

Arrangement a

Computed, not measured: a relaxed structure of LaTaCo2 at the PBE level of DFT.

Results
Spin magnetization, μB per formula unit: 0.001
Space group: R-3m
DOS(E_F), states/eV/f.u.: 4.99

a b c (Å): 5.733 5.733 5.733
angles (deg): 42.58 42.58 42.58
Atoms (fractional coordinates):
La1 0.000 0.000 0.000
Ta1 0.500 0.500 0.500
Co1 0.204 0.204 0.204
Co2 0.796 0.796 0.796

=====

Arrangement b

Computed, not measured: a relaxed structure of LaTaCo2 at the PBE level of DFT.

Results
Spin magnetization, μB per formula unit: 0.001
Space group: P2/m
DOS(E_F), states/eV/f.u.: 3.69

a b c (Å): 3.083 3.120 7.226
angles (deg): 90.00 90.27 90.00
Atoms (fractional coordinates):
La1 0.000 0.000 0.000
Ta1 0.000 0.000 0.500
Co1 0.500 0.500 0.313
Co2 0.500 0.500 0.687

=====

Of them, arrangement b has the highest stability.

=====

Arrangement a

Computed, not measured: a relaxed structure of Si2HgI at the PBE level of DFT.

Results
Spin magnetization, μB per formula unit: 0.000
Space group: I-42d
DOS(E_F), states/eV/f.u.: 2.71

a b c (Å): 7.816 7.816 7.816
angles (deg): 132.89 132.89 68.82
Atoms (fractional coordinates):
Si1 0.069 0.625 0.944
Si2 0.375 0.319 0.444
Si3 0.681 0.125 0.056
Si4 0.875 0.931 0.556
Hg1 0.000 0.000 0.000
Hg2 0.750 0.250 0.500
I1 0.250 0.750 0.500
I2 0.500 0.500 0.000

=====

Arrangement b

Computed, not measured: a relaxed structure of Si2HgI at the PBE level of DFT.

Results
Spin magnetization, μB per formula unit: 0.000
Space group: C2/m
DOS(E_F), states/eV/f.u.: 0.15

a b c (Å): 8.170 8.170 9.027
angles (deg): 104.45 104.45 28.26
Atoms (fractional coordinates):
Si1 0.159 0.159 0.408
Si2 0.315 0.315 0.443
Si3 0.685 0.685 0.557
Si4 0.841 0.841 0.592
Hg1 0.051 0.051 0.147
Hg2 0.949 0.949 0.853
I1 0.374 0.374 0.209
I2 0.626 0.626 0.791

=====

Of them, arrangement b has the highest stability.